The following is a PBE calculation of an optimized crystal structure of KBeH6Pt, from the Alexandria database.

Lattice parameters (Å, degrees): 4.439 4.439 5.612 90.00 90.00 120.00
Atoms (fractional coordinates):
K  0.000  0.000  0.000
Be  0.667  0.333  0.500
H  0.404  0.006  0.321
H  0.404  0.397  0.679
H  0.603  0.006  0.679
H  0.603  0.596  0.321
H  0.994  0.397  0.321
H  0.994  0.596  0.679
Pt  0.333  0.667  0.500

Space-group type: P312
DFT total energy, eV/atom: -3.59
Calculated density, g cm⁻³: 4.32